1.
# MgZr4Ni

MgZr4Ni after structural relaxation (GGA-PBE, the Alexandria database).

Lattice parameters (Å, degrees): 5.715 5.715 5.715 60.00 60.00 60.00
Sites, in units of the cell vectors:
Zr 0.375 0.375 0.876
Zr 0.375 0.375 0.375
Zr 0.375 0.876 0.375
Zr 0.876 0.375 0.375
Mg 0.750 0.750 0.750
Ni 0.000 0.000 0.000

The formation energy comes out at 472 meV/atom. The density of states at the Fermi level is 6.9 states/eV/f.u.


2.
# Mg2ZrNi

Mg2ZrNi after structural relaxation (GGA-PBE, the Alexandria database).

Lattice parameters (Å, degrees): 9.363 9.363 9.363 19.48 19.48 19.48
Sites, in units of the cell vectors:
Mg 0.001 0.001 0.001
Mg 0.236 0.236 0.236
Ni 0.498 0.498 0.498
Zr 0.764 0.764 0.764

The formation energy comes out at 19 meV/atom. The density of states at the Fermi level is 2.4 states/eV/f.u.


3.
# MgZr2Ni

MgZr2Ni after structural relaxation (GGA-PBE, the Alexandria database).

Lattice parameters (Å, degrees): 5.162 5.162 5.162 131.45 131.45 71.09
Sites, in units of the cell vectors:
Zr 0.000 0.000 0.000
Zr 0.500 0.500 0.000
Ni 0.750 0.250 0.500
Mg 0.250 0.750 0.500

The formation energy comes out at 27 meV/atom. The density of states at the Fermi level is 5.1 states/eV/f.u.


4.
# Mg2ZrNi

Mg2ZrNi after structural relaxation (GGA-PBE, the Alexandria database).

Lattice parameters (Å, degrees): 5.562 5.562 2.824 90.00 90.00 120.58
Sites, in units of the cell vectors:
Mg 0.000 0.000 0.000
Mg 0.500 0.500 0.000
Ni 0.500 0.000 0.500
Zr 0.000 0.500 0.500

The formation energy comes out at 161 meV/atom. The density of states at the Fermi level is 3.1 states/eV/f.u.


The following calculated density values (in g/cm3) correspond, in order, to the records above: 5.64; 4.13; 5.83; 4.38.